Entry 1:
# LiCa2TbTl4, relaxed, DFT PBE-GGA
# - VASP energy (eV per atom) = -2.85
# - size of the total moment (μB/cell) = 0.0
# - energy relative to the elements (kJ per mole of atoms) = -33.4
data_LiCa2TbTl4
_chemical_formula_sum 'Li3 Ca6 Tb3 Tl12'
_space_group_name_H-M_alt 'R -3 m'
_space_group_IT_number 166
_space_group_name_Hall '-R 3 2"'
_cell_length_a 5.3401
_cell_length_b 5.3401
_cell_length_c 26.5136
_cell_angle_alpha 90.00
_cell_angle_beta 90.00
_cell_angle_gamma 120.00
loop_
_atom_site_label
_atom_site_fract_x
_atom_site_fract_y
_atom_site_fract_z
Li1 0.0000 0.0000 0.0000
Ca1 0.0000 0.0000 0.2528
Tb1 0.0000 0.0000 0.5000
Tl1 0.0000 0.0000 0.1228
Tl2 0.0000 0.0000 0.3738

=====

Entry 2:
# Y2SeN, relaxed, DFT PBE-GGA
# - energy above the lowest structure with this stoichiometry (meV/atom) = 255
# - VASP energy (eV per atom) = -7.64
# - size of the total moment (μB/cell) = 0.0
data_Y2SeN
_chemical_formula_sum 'Y8 Se4 N4'
_space_group_name_H-M_alt 'I -4 2 d'
_space_group_IT_number 122
_space_group_name_Hall 'I -4 2bw'
_cell_length_a 6.044
_cell_length_b 6.044
_cell_length_c 10.686
_cell_angle_alpha 90.00
_cell_angle_beta 90.00
_cell_angle_gamma 90.00
loop_
_atom_site_label
_atom_site_fract_x
_atom_site_fract_y
_atom_site_fract_z
Y1 0.175 0.250 0.125
Se1 0.000 0.000 0.500
N1 0.000 0.000 0.000

=====

Entry 3:
# Sc2TlAs, relaxed, DFT PBE-GGA
# - energy above the lowest structure with this stoichiometry (meV/atom) = 0
# - VASP energy (eV per atom) = -5.72
# - size of the total moment (μB/cell) = 0.0
# - energy relative to the elements (kJ per mole of atoms) = -77.0
data_Sc2TlAs
_chemical_formula_sum 'Sc4 Tl2 As2'
_space_group_name_H-M_alt 'C 1 2/m 1'
_space_group_IT_number 12
_space_group_name_Hall '-C 2y'
_cell_length_a 6.507
_cell_length_b 3.752
_cell_length_c 7.924
_cell_angle_alpha 90.00
_cell_angle_beta 105.77
_cell_angle_gamma 90.00
loop_
_atom_site_label
_atom_site_fract_x
_atom_site_fract_y
_atom_site_fract_z
Sc1 0.235 0.000 0.205
Tl1 0.000 0.000 0.500
As1 0.000 0.500 0.000

=====

Entry 4:
# Ba6Cd3Hg, relaxed, DFT PBE-GGA
# - VASP energy (eV per atom) = -1.72
# - size of the total moment (μB/cell) = 0.0
# - energy relative to the elements (kJ per mole of atoms) = -25.2
data_Ba6Cd3Hg
_chemical_formula_sum 'Ba12 Cd6 Hg2'
_space_group_name_H-M_alt 'P 1 21/m 1'
_space_group_IT_number 11
_space_group_name_Hall '-P 2yb'
_cell_length_a 10.546
_cell_length_b 6.087
_cell_length_c 13.834
_cell_angle_alpha 90.00
_cell_angle_beta 109.09
_cell_angle_gamma 90.00
loop_
_atom_site_label
_atom_site_fract_x
_atom_site_fract_y
_atom_site_fract_z
Ba1 0.002 0.250 0.404
Ba2 0.153 0.750 0.173
Ba3 0.251 0.250 0.000
Ba4 0.346 0.750 0.832
Ba5 0.371 0.250 0.347
Ba6 0.383 0.250 0.632
Cd1 0.028 0.750 0.873
Cd2 0.114 0.250 0.727
Cd3 0.279 0.750 0.469
Hg1 0.452 0.750 0.107